{
  "formula": "YCo2Tc",
  "functional": "PBE",
  "state": "optimized geometry",
  "cell": [[2.053, 1.186, 4.917], [-2.053, 1.186, 4.917], [0.000, -2.371, 4.917]],
  "species": ["Y", "Co", "Co", "Tc"],
  "frac_coords": [[0.000, 0.000, 0.000], [0.192, 0.192, 0.192], [0.505, 0.505, 0.505], [0.810, 0.810, 0.810]],
  "crystal_system": "trigonal"
}


{
  "formula": "YCo2Tc",
  "functional": "PBE",
  "state": "optimized geometry",
  "cell": [[0.000, 3.156, 3.156], [3.156, 0.000, 3.156], [3.156, 3.156, 0.000]],
  "species": ["Y", "Co", "Co", "Tc"],
  "frac_coords": [[0.000, 0.000, 0.000], [0.250, 0.250, 0.250], [0.750, 0.750, 0.750], [0.500, 0.500, 0.500]],
  "crystal_system": "cubic"
}


{
  "formula": "YCo2Tc",
  "functional": "PBE",
  "state": "optimized geometry",
  "cell": [[1.459, 0.842, 8.551], [-1.459, 0.842, 8.551], [0.000, -1.685, 8.551]],
  "species": ["Y", "Co", "Co", "Tc"],
  "frac_coords": [[0.000, 0.000, 0.000], [0.240, 0.240, 0.240], [0.760, 0.760, 0.760], [0.500, 0.500, 0.500]],
  "crystal_system": "trigonal"
}


no.,density (g cm⁻³),ΔE_f (kJ/mol of atoms),relative energy among the computed polymorphs (meV/atom)
1,7.0,7,84.3
2,8.1,17,186.1
3,8.0,56,587.9